Record 1
## Ge2MoPtF (GGA-PBEsol)

Data for Ge2MoPtF after structural relaxation.

Cell: 4.8707 4.8707 4.6088 Å, 90.00 90.00 90.00°
Last column: nearest neighbours and their distance in Å.
Sites, in units of the cell vectors:
Ge1 0.0000 0.5000 0.0000  2 Mo 2.44
Ge2 0.5000 0.0000 0.0000  2 Mo 2.44
Mo1 0.0000 0.0000 0.0000  2 Pt 2.30, 4 Ge 2.44
Pt1 0.0000 0.0000 0.5000  2 Mo 2.30
F1 0.5000 0.5000 0.5000  8 Ge 3.35, 4 Pt 3.44

Output
uncorrected formation energy: 515 meV per atom
electronic total energy: -5.5929 eV per atom

---

Record 2
## NaGeNF2 (GGA-PBEsol)

Data for NaGeNF2 after structural relaxation.

Cell: 4.1654 4.1654 3.4294 Å, 90.00 90.00 90.00°
Last column: nearest neighbours and their distance in Å.
Sites, in units of the cell vectors:
Na1 0.0000 0.0000 0.0000  8 F 2.70, 4 N 2.95
Ge1 0.5000 0.5000 0.5000  2 N 1.71
N1 0.5000 0.5000 0.0000  2 Ge 1.71
F1 0.0000 0.5000 0.5000  2 Ge 2.08
F2 0.5000 0.0000 0.5000  2 Ge 2.08

Output
uncorrected formation energy: -1344 meV per atom
electronic total energy: -5.0885 eV per atom